[1]
# NaHg2Se2

NaHg2Se2 after structural relaxation (GGA-PBE, Alexandria).

abc: 4.5586 4.5586 9.0604
angles: 90.00 90.00 120.00
Space group P-3m1 (No. 164)
Unique sites:
Na (0.0000, 0.0000, 0.0000)
Hg (0.3333, 0.6667, 0.4123)
Se (0.3333, 0.6667, 0.1282)

## Properties
distance to the lowest polymorph of the same formula: 7.053 kcal/mol of atoms
D(E_F): 1.0338 states/eV per atom
uncorrected energy: -1.817 eV per atom

[2]
# Na2HgSe

Na2HgSe after structural relaxation (GGA-PBE, Alexandria).

abc: 7.195 8.065 10.583
angles: 90.00 132.83 90.00
Space group P2_1/c (No. 14)
Unique sites:
Na (0.151, 0.153, 0.162)
Na (0.328, 0.653, 0.338)
Hg (0.278, 0.510, 0.028)
Se (0.126, 0.141, 0.876)

## Properties
distance to the lowest polymorph of the same formula: 0.000 kcal/mol of atoms
uncorrected energy: -2.340 eV per atom

[3]
# Na2SiHgSe4

Na2SiHgSe4 after structural relaxation (GGA-PBE, Alexandria).

abc: 11.161 11.869 7.627
angles: 90.00 132.08 90.00
Space group C2/c (No. 15)
Unique sites:
Na (0.000, 0.000, 0.000)
Na (0.250, 0.250, 0.000)
Si (0.000, 0.500, 0.000)
Hg (0.250, 0.250, 0.500)
Se (0.004, 0.291, 0.497)
Se (0.212, 0.493, 0.960)

## Properties
D(E_F): 0.1261 states/eV per atom
uncorrected energy: -3.261 eV per atom

[4]
# Na2SiHgSe

Na2SiHgSe after structural relaxation (GGA-PBE, Alexandria).

abc: 5.692 5.692 4.875
angles: 90.00 90.00 90.00
Space group P4/mmm (No. 123)
Unique sites:
Na (0.000, 0.500, 0.000)
Si (0.000, 0.000, 0.000)
Hg (0.500, 0.500, 0.500)
Se (0.000, 0.000, 0.500)

## Properties
D(E_F): 0.4338 states/eV per atom
uncorrected energy: -2.376 eV per atom

[5]
# NaSnHgSe3

NaSnHgSe3 after structural relaxation (GGA-PBE, Alexandria).

abc: 7.556 4.036 10.972
angles: 90.00 100.76 90.00
Space group P2_1/m (No. 11)
Unique sites:
Na (0.173, 0.250, 0.170)
Sn (0.195, 0.750, 0.607)
Hg (0.400, 0.250, 0.874)
Se (0.077, 0.750, 0.358)
Se (0.233, 0.750, 0.971)
Se (0.466, 0.250, 0.646)

## Properties
D(E_F): 0.3247 states/eV per atom
uncorrected energy: -3.123 eV per atom

[6]
# NaSrHgSe2

NaSrHgSe2 after structural relaxation (GGA-PBE, Alexandria).

abc: 7.617 4.865 8.234
angles: 90.00 103.08 90.00
Space group P2/c (No. 13)
Unique sites:
Na (0.000, 0.014, 0.250)
Sr (0.500, 0.345, 0.750)
Hg (0.000, 0.500, 0.000)
Se (0.305, 0.157, 0.024)

## Properties
D(E_F): 0.1884 states/eV per atom
uncorrected energy: -3.053 eV per atom

Energy relative to the elements, uncorrected, respectively: -0.04; -0.73; -0.47; -0.01; -0.44; -1.00 eV/atom.